DFT (PBE-GGA) results for crystalline Ac6Ir4F at its relaxed geometry.

Unit cell a=6.0834 b=6.0834 c=9.2505 alpha=101.30 beta=101.31 gamma=82.89
Sites, in units of the cell vectors:
Ac 0.0845 0.5677 0.6397
Ac 0.5678 0.0843 0.6397
Ac 0.9691 0.9692 0.3348
Ac 0.9198 0.4281 0.9823
Ac 0.5181 0.5181 0.3374
Ac 0.4279 0.9199 0.9823
Ir 0.0249 0.4450 0.3059
Ir 0.5968 0.5967 0.7027
Ir 0.4450 0.0249 0.3059
Ir 0.0909 0.0908 0.7190
F 0.8554 0.8555 0.0500

Results
Its space-group type is Cm, No. 8. Its density of states at the Fermi level is 6.37 states/eV per cell. As for the calculated total energy: -71.99 eV for the cell shown. The value obtained for the density is 10.89 g cm⁻³. The value obtained for the size of the total moment is 0.0 Bohr magnetons per cell. As for the crystal system: monoclinic.